Entry 1:
RbPb3S GGA-PBE relaxed; space-group type = Pm-3m, No. 221; total DFT energy (no corrections) = -9.2 eV per formula unit; energy relative to the elements, uncorrected = 1.3992 eV per atom
1.0
6.228 0.000 0.000
0.000 6.228 0.000
0.000 0.000 6.228
Pb S Rb
3 1 1
direct
0.000 0.500 0.000
0.000 0.000 0.500
0.500 0.000 0.000
0.500 0.500 0.500
0.000 0.000 0.000

=====

Entry 2:
ScBrCl GGA-PBE relaxed; space-group type = I4mm, No. 107; total DFT energy (no corrections) = -14.5 eV per formula unit; energy relative to the elements, uncorrected = -1.5357 eV per atom
1.0
-0.376 2.051 7.005
-3.393 -1.467 6.306
3.561 -1.837 -6.113
Br Cl Sc
1 1 1
direct
0.050 0.050 0.000
0.279 0.279 0.000
0.671 0.671 0.000

=====

Entry 3:
TiOsCl3 GGA-PBE relaxed; space-group type = Pm-3m, No. 221; total DFT energy (no corrections) = -21.1 eV per formula unit; energy relative to the elements, uncorrected = 0.7055 eV per atom
1.0
-3.653 2.873 -1.111
-2.964 -3.747 0.056
-0.838 0.732 4.647
Cl Os Ti
3 1 1
direct
0.000 0.500 0.000
0.000 0.000 0.500
0.500 0.000 0.000
0.000 0.000 0.000
0.500 0.500 0.500

=====

Entry 4:
Ho4TmS4 GGA-PBE relaxed; space-group type = I4/m, No. 87; total DFT energy (no corrections) = -54.9 eV per formula unit; energy relative to the elements, uncorrected = -1.7330 eV per atom
1.0
5.073 0.000 2.034
2.493 6.060 1.126
0.280 -0.117 6.646
Ho Tm S
4 1 4
direct
0.602 0.598 0.198
0.398 0.402 0.802
0.200 0.198 0.402
0.800 0.802 0.598
0.000 0.000 0.000
0.903 0.397 0.798
0.097 0.603 0.202
0.300 0.797 0.603
0.700 0.203 0.397

=====

Entry 5:
CsYSn2Cl8 GGA-PBE relaxed; space-group type = P-1, No. 2; total DFT energy (no corrections) = -49.1 eV per formula unit; energy relative to the elements, uncorrected = -1.5860 eV per atom
1.0
-2.917 6.316 -0.789
-4.934 -1.353 3.945
4.490 4.050 7.483
Cs Y Sn Cl
1 1 2 8
direct
0.000 0.000 0.500
0.000 0.000 0.000
0.475 0.481 0.764
0.525 0.519 0.236
0.175 0.779 0.190
0.687 0.769 0.041
0.867 0.260 0.202
0.825 0.221 0.810
0.313 0.231 0.959
0.133 0.740 0.798
0.609 0.731 0.433
0.391 0.269 0.567

=====

Entry 6:
KNa2SrHg GGA-PBE relaxed; DFT formation energy = -0.0717 eV/atom; space-group type = P4/mmm, No. 123; total DFT energy (no corrections) = -6.1 eV per formula unit
1.0
6.098 0.000 0.000
0.000 6.098 0.000
0.000 0.000 6.282
Sr K Hg Na
1 1 1 2
direct
0.000 0.000 0.500
0.500 0.500 0.500
0.000 0.000 0.000
0.000 0.500 0.000
0.500 0.000 0.000

=====

Entry 7:
BaAl3Pd GGA-PBE relaxed; DFT formation energy = -0.3841 eV/atom; space-group type = Cmcm, No. 63; total DFT energy (no corrections) = -20.3 eV per formula unit
1.0
-0.727 -5.188 1.296
-0.596 -1.549 -6.538
6.265 -0.143 2.943
Ba Al Pd
2 6 2
direct
0.250 0.404 0.808
0.750 0.596 0.192
0.250 0.810 0.619
0.750 0.190 0.381
0.250 0.350 0.300
0.750 0.650 0.700
0.250 0.950 0.300
0.750 0.050 0.700
0.000 0.000 0.000
0.500 0.000 0.000

=====

Entry 8:
Na2CaTl2Hg2 GGA-PBE relaxed; DFT formation energy = -0.2434 eV/atom; space-group type = R-3m, No. 166; total DFT energy (no corrections) = -11.7 eV per formula unit
1.0
-4.506 0.123 -2.665
-0.058 -1.180 -5.101
-2.773 -7.935 -0.821
Na Ca Tl Hg
2 1 2 2
direct
0.145 0.145 0.566
0.855 0.855 0.434
0.000 0.000 0.000
0.580 0.580 0.260
0.420 0.420 0.740
0.725 0.725 0.826
0.275 0.275 0.174

=====

Entry 9:
TmThSe4 GGA-PBE relaxed; space-group type = P2_1/c, No. 14; total DFT energy (no corrections) = -34.2 eV per formula unit; energy relative to the elements, uncorrected = -1.3965 eV per atom
1.0
-5.548 4.209 1.313
-0.960 -3.170 6.105
4.586 4.442 3.027
Tm Th Se
2 2 8
direct
0.500 0.000 0.500
0.000 0.500 0.500
0.000 0.000 0.000
0.500 0.500 0.000
0.857 0.641 0.150
0.643 0.141 0.850
0.363 0.367 0.372
0.137 0.867 0.628
0.143 0.359 0.850
0.357 0.859 0.150
0.637 0.633 0.628
0.863 0.133 0.372

=====

Entry 10:
Li2Tb2NdSi2 GGA-PBE relaxed; space-group type = R-3m, No. 166; total DFT energy (no corrections) = -31.5 eV per formula unit; energy relative to the elements, uncorrected = -0.3979 eV per atom
1.0
4.494 0.000 0.000
2.247 3.892 0.000
2.247 1.297 8.943
Li Tb Nd Si
2 2 1 2
direct
0.595 0.595 0.214
0.405 0.405 0.786
0.128 0.128 0.615
0.872 0.872 0.385
0.000 0.000 0.000
0.740 0.740 0.779
0.260 0.260 0.221

=====

Entry 11:
CsRbHfO2 GGA-PBE relaxed; space-group type = P4/mmm, No. 123; total DFT energy (no corrections) = -26.2 eV per formula unit; energy relative to the elements, uncorrected = -0.8936 eV per atom
1.0
4.303 0.000 0.000
0.000 6.658 0.000
0.000 0.000 4.303
Cs Hf O Rb
1 1 2 1
direct
0.000 0.500 0.000
0.000 0.000 0.000
0.000 0.000 0.500
0.500 0.000 0.000
0.500 0.500 0.500

=====

Entry 12:
Hf2MgZrN4 GGA-PBE relaxed; space-group type = Imma, No. 74; total DFT energy (no corrections) = -76.2 eV per formula unit; energy relative to the elements, uncorrected = -1.6000 eV per atom
1.0
-3.994 4.974 0.614
-2.878 -2.913 4.930
6.347 0.946 0.088
Hf Mg Zr N
4 2 2 8
direct
0.500 0.000 0.000
0.500 0.000 0.500
0.000 0.000 0.500
0.500 0.500 0.000
0.000 0.500 0.000
0.000 0.500 0.500
0.500 0.500 0.500
0.000 0.000 0.000
0.258 0.751 0.004
0.749 0.243 0.496
0.251 0.757 0.504
0.743 0.249 0.996
0.750 0.750 0.007
0.750 0.750 0.493
0.250 0.250 0.507
0.250 0.250 0.993